(A)
! SCAN AgRuN2F, PBEsol geometry; values from VASP
&SYSTEM
  ibrav = 0, nat = 5, ntyp = 4
/
ATOMIC_SPECIES
Ag 107.87 Ag.upf
Ru 101.07 Ru.upf
N 14.01 N.upf
F 19.00 F.upf
CELL_PARAMETERS angstrom
3.9736 0.0000 0.0000
0.0000 3.9736 0.0000
0.0000 0.0000 3.9763
ATOMIC_POSITIONS crystal
Ag 0.0000 0.0000 0.0000
Ru 0.5000 0.5000 0.5000
N 0.0000 0.5000 0.0000
N 0.5000 0.0000 0.0000
F 0.0000 0.0000 0.5000
! Size of the total moment ... 4.26 μB/f.u.



(B)
! SCAN AgRuN2F, PBEsol geometry; values from VASP
&SYSTEM
  ibrav = 0, nat = 5, ntyp = 4
/
ATOMIC_SPECIES
Ag 107.87 Ag.upf
Ru 101.07 Ru.upf
N 14.01 N.upf
F 19.00 F.upf
CELL_PARAMETERS angstrom
3.7602 0.0000 0.0000
0.0000 3.7602 0.0000
0.0000 0.0000 4.2453
ATOMIC_POSITIONS crystal
Ag 0.0000 0.0000 0.0000
Ru 0.5000 0.5000 0.5000
N 0.0000 0.5000 0.5000
N 0.5000 0.0000 0.5000
F 0.5000 0.5000 0.0000
! Size of the total moment ... 0.00 μB/f.u.



Stability, lowest: (A)



(A)
! SCAN RbAgOF2, PBEsol geometry; values from VASP
&SYSTEM
  ibrav = 0, nat = 5, ntyp = 4
/
ATOMIC_SPECIES
Rb 85.47 Rb.upf
Ag 107.87 Ag.upf
O 16.00 O.upf
F 19.00 F.upf
CELL_PARAMETERS angstrom
4.4618 0.0000 0.0000
0.0000 4.4618 0.0000
0.0000 0.0000 3.9121
ATOMIC_POSITIONS crystal
Rb 0.0000 0.0000 0.0000
Ag 0.5000 0.5000 0.5000
O 0.5000 0.5000 0.0000
F 0.0000 0.5000 0.5000
F 0.5000 0.0000 0.5000
! Size of the total moment ... 0.82 μB/f.u.



(B)
! SCAN RbAgOF2, PBEsol geometry; values from VASP
&SYSTEM
  ibrav = 0, nat = 5, ntyp = 4
/
ATOMIC_SPECIES
Rb 85.47 Rb.upf
Ag 107.87 Ag.upf
O 16.00 O.upf
F 19.00 F.upf
CELL_PARAMETERS angstrom
4.8259 0.0000 0.0000
0.0000 4.8259 0.0000
0.0000 0.0000 4.4137
ATOMIC_POSITIONS crystal
Rb 0.0000 0.0000 0.0000
Ag 0.5000 0.5000 0.5000
O 0.0000 0.0000 0.5000
F 0.0000 0.5000 0.0000
F 0.5000 0.0000 0.0000
! Size of the total moment ... 2.01 μB/f.u.



Stability, lowest: (B)